No. 1
The following is a PBE+U calculation of a geometry-optimized Fe2Ag2PtO6 structure, from Alexandria.

Properties
The calculation puts the total energy at -5.32 eV per atom.

The structure in POSCAR format:
```
Fe2Ag2PtO6
1.0
2.614 -4.468 0.000
2.614 4.468 0.000
-1.896 0.000 5.941
Fe Ag Pt O
2 2 1 6
direct
0.167 0.833 0.000
0.833 0.167 0.000
0.179 0.821 0.500
0.821 0.179 0.500
0.500 0.500 0.000
0.100 0.100 0.827
0.216 0.562 0.167
0.438 0.784 0.833
0.562 0.216 0.167
0.784 0.438 0.833
0.900 0.900 0.173
```

No. 2
The following is a PBE+U calculation of a geometry-optimized PuFe2AgO6 structure, from Alexandria.

Properties
The calculation puts the total energy at -7.39 eV per atom.

The structure in POSCAR format:
```
PuFe2AgO6
1.0
5.453 0.000 0.000
2.721 4.782 0.000
2.483 1.323 5.040
Pu Fe Ag O
1 2 1 6
direct
0.000 0.000 0.000
0.199 0.229 0.388
0.697 0.663 0.952
0.487 0.479 0.553
0.062 0.374 0.727
0.241 0.950 0.214
0.395 0.794 0.760
0.609 0.268 0.206
0.804 0.036 0.762
0.919 0.618 0.202
```

No. 3
The following is a PBE+U calculation of a geometry-optimized RbV2FeAg2O8 structure, from Alexandria.

Properties
The calculation puts the total energy at -6.25 eV per atom.

The structure in POSCAR format:
```
RbV2FeAg2O8
1.0
5.535 0.000 0.000
-2.767 4.793 0.000
0.000 0.000 7.592
Rb V Fe Ag O
1 2 1 2 8
direct
0.000 0.000 0.000
0.333 0.667 0.728
0.667 0.333 0.272
0.000 0.000 0.500
0.333 0.667 0.263
0.667 0.333 0.737
0.075 0.330 0.656
0.255 0.925 0.656
0.330 0.255 0.344
0.333 0.667 0.951
0.667 0.333 0.049
0.670 0.745 0.656
0.745 0.075 0.344
0.925 0.670 0.344
```

No. 4
The following is a PBE+U calculation of a geometry-optimized FeRe2AgO8 structure, from Alexandria.

Properties
The calculation puts the total energy at -7.41 eV per atom.

The structure in POSCAR format:
```
FeRe2AgO8
1.0
5.915 0.000 0.000
-2.958 5.123 0.000
0.000 0.000 6.493
Fe Re Ag O
1 2 1 8
direct
0.000 0.000 0.000
0.333 0.667 0.275
0.667 0.333 0.725
0.000 0.000 0.500
0.166 0.335 0.193
0.168 0.834 0.193
0.333 0.667 0.545
0.335 0.168 0.807
0.665 0.832 0.193
0.667 0.333 0.455
0.832 0.166 0.807
0.834 0.665 0.807
```

No. 5
The following is a PBE+U calculation of a geometry-optimized FeAgS2O8 structure, from Alexandria.

Properties
The calculation puts the total energy at -5.74 eV per atom.

The structure in POSCAR format:
```
FeAgS2O8
1.0
2.351 1.357 7.739
-2.351 1.357 7.739
0.000 -2.715 7.739
Fe Ag S O
1 1 2 8
direct
0.000 0.000 0.000
0.500 0.500 0.500
0.261 0.261 0.261
0.739 0.739 0.739
0.006 0.742 0.405
0.198 0.198 0.198
0.258 0.595 0.994
0.405 0.006 0.742
0.595 0.994 0.258
0.742 0.405 0.006
0.802 0.802 0.802
0.994 0.258 0.595
```

No. 6
The following is a PBE+U calculation of a geometry-optimized Sr3Fe2Ag2S2O5 structure, from Alexandria.

Properties
The calculation puts the total energy at -5.61 eV per atom.

The structure in POSCAR format:
```
Sr3Fe2Ag2S2O5
1.0
-2.010 2.010 13.851
2.010 -2.010 13.851
2.010 2.010 -13.851
Sr Fe Ag S O
3 2 2 2 5
direct
0.000 0.000 0.000
0.135 0.135 0.000
0.865 0.865 0.000
0.431 0.431 0.000
0.569 0.569 0.000
0.250 0.750 0.500
0.750 0.250 0.500
0.315 0.315 0.000
0.685 0.685 0.000
0.079 0.579 0.500
0.421 0.921 0.500
0.500 0.500 0.000
0.579 0.079 0.500
0.921 0.421 0.500
```

No. 7
The following is a PBE+U calculation of a geometry-optimized Fe2Ag2SeO6 structure, from Alexandria.

Properties
The calculation puts the total energy at -5.33 eV per atom.

The structure in POSCAR format:
```
Fe2Ag2SeO6
1.0
2.658 -4.660 0.000
2.658 4.660 0.000
-0.376 0.000 6.219
Fe Ag Se O
2 2 1 6
direct
0.165 0.835 0.000
0.835 0.165 0.000
0.344 0.656 0.500
0.656 0.344 0.500
0.500 0.500 0.000
0.199 0.199 0.846
0.224 0.519 0.168
0.481 0.776 0.832
0.519 0.224 0.168
0.776 0.481 0.832
0.801 0.801 0.154
```

No. 8
The following is a PBE+U calculation of a geometry-optimized FeAg2Se2O6 structure, from Alexandria.

Properties
The calculation puts the total energy at -5.05 eV per atom.

The structure in POSCAR format:
```
FeAg2Se2O6
1.0
4.396 -2.851 0.000
4.396 2.851 0.000
-2.992 0.000 6.106
Fe Ag Se O
1 2 2 6
direct
0.000 0.000 0.000
0.178 0.178 0.596
0.822 0.822 0.404
0.417 0.417 0.244
0.583 0.583 0.756
0.214 0.683 0.749
0.248 0.248 0.993
0.317 0.786 0.251
0.683 0.214 0.749
0.752 0.752 0.007
0.786 0.317 0.251
```

No. 9
The following is a PBE+U calculation of a geometry-optimized Sr6Fe5Ag3Se4O10 structure, from Alexandria.

Properties
The calculation puts the total energy at -5.58 eV per atom.

The structure in POSCAR format:
```
Sr6Fe5Ag3Se4O10
1.0
2.871 -14.476 0.000
2.871 14.476 0.000
0.000 0.000 5.741
Sr Fe Ag Se O
6 5 3 4 10
direct
0.000 0.500 0.253
0.125 0.370 0.249
0.370 0.125 0.751
0.500 0.000 0.747
0.630 0.875 0.751
0.875 0.630 0.249
0.067 0.434 0.750
0.434 0.067 0.250
0.500 0.500 0.500
0.566 0.933 0.250
0.933 0.566 0.750
0.000 0.000 0.000
0.000 0.000 0.500
0.500 0.500 0.000
0.198 0.323 0.737
0.323 0.198 0.263
0.677 0.802 0.263
0.802 0.677 0.737
0.000 0.500 0.747
0.173 0.827 0.000
0.173 0.827 0.500
0.327 0.673 0.000
0.327 0.673 0.500
0.500 0.000 0.253
0.673 0.327 0.000
0.673 0.327 0.500
0.827 0.173 0.000
0.827 0.173 0.500
```

No. 10
The following is a PBE+U calculation of a geometry-optimized TaFeAgO2 structure, from Alexandria.

Properties
The calculation puts the total energy at -6.93 eV per atom.

The structure in POSCAR format:
```
TaFeAgO2
1.0
3.878 0.000 0.000
0.000 3.878 0.000
0.000 0.000 5.955
Ta Fe Ag O
1 1 1 2
direct
0.000 0.000 0.000
0.000 0.000 0.500
0.500 0.500 0.500
0.000 0.500 0.000
0.500 0.000 0.000
```

No. 11
The following is a PBE+U calculation of a geometry-optimized FeTc2AgO8 structure, from Alexandria.

Properties
The calculation puts the total energy at -6.89 eV per atom.

The structure in POSCAR format:
```
FeTc2AgO8
1.0
5.764 0.000 0.000
-2.882 4.992 0.000
0.000 0.000 6.487
Fe Tc Ag O
1 2 1 8
direct
0.000 0.000 0.000
0.333 0.667 0.277
0.667 0.333 0.723
0.000 0.000 0.500
0.162 0.327 0.189
0.165 0.838 0.189
0.327 0.165 0.811
0.333 0.667 0.545
0.667 0.333 0.455
0.673 0.835 0.189
0.835 0.162 0.811
0.838 0.673 0.811
```

No. 12
The following is a PBE+U calculation of a geometry-optimized Fe2Ag2TeO6 structure, from Alexandria.

Properties
The calculation puts the total energy at -5.43 eV per atom.

The structure in POSCAR format:
```
Fe2Ag2TeO6
1.0
2.745 -4.728 0.000
2.745 4.728 0.000
-2.626 0.000 5.770
Fe Ag Te O
2 2 1 6
direct
0.166 0.834 0.000
0.834 0.166 0.000
0.187 0.813 0.500
0.813 0.187 0.500
0.500 0.500 0.000
0.112 0.112 0.802
0.269 0.575 0.177
0.425 0.731 0.823
0.575 0.269 0.177
0.731 0.425 0.823
0.888 0.888 0.198
```

No. 13
The following is a PBE+U calculation of a geometry-optimized V2FeAg3O8 structure, from Alexandria.

Properties
The calculation puts the total energy at -6.14 eV per atom.

The structure in POSCAR format:
```
V2FeAg3O8
1.0
5.006 -2.558 0.000
5.006 2.558 0.000
-1.856 0.000 14.784
V Fe Ag O
4 2 6 16
direct
0.129 0.198 0.399
0.198 0.129 0.899
0.802 0.871 0.101
0.871 0.802 0.601
0.500 0.500 0.000
0.500 0.500 0.500
0.117 0.211 0.151
0.211 0.117 0.651
0.473 0.527 0.250
0.527 0.473 0.750
0.789 0.883 0.349
0.883 0.789 0.849
0.030 0.291 0.797
0.075 0.709 0.026
0.186 0.476 0.429
0.257 0.647 0.614
0.291 0.030 0.297
0.291 0.925 0.474
0.353 0.743 0.886
0.476 0.186 0.929
0.524 0.814 0.071
0.647 0.257 0.114
0.709 0.075 0.526
0.709 0.970 0.703
0.743 0.353 0.386
0.814 0.524 0.571
0.925 0.291 0.974
0.970 0.709 0.203
```

No. 14
The following is a PBE+U calculation of a geometry-optimized FeAgW2O8 structure, from Alexandria.

Properties
The calculation puts the total energy at -6.52 eV per atom.

The structure in POSCAR format:
```
FeAgW2O8
1.0
5.711 0.000 0.000
-2.856 4.946 0.000
0.000 0.000 6.468
Fe Ag W O
1 1 2 8
direct
0.000 0.000 0.000
0.000 0.000 0.500
0.333 0.667 0.267
0.667 0.333 0.733
0.157 0.315 0.180
0.157 0.843 0.180
0.315 0.157 0.820
0.333 0.667 0.541
0.667 0.333 0.459
0.685 0.843 0.180
0.843 0.157 0.820
0.843 0.685 0.820
```